No. 1
HfHg2TeAs, optimized geometry, DFT PBE; formation energy (no corrections) = 0.921 eV/atom; DOS at the Fermi energy = 4.53 states/eV/f.u.; density = 8.13 g cm⁻³
1.0
5.409 0.000 0.000
0.000 5.409 0.000
0.000 0.000 5.459
Hf Hg Te As
1 2 1 1
Direct
0.000 0.000 0.000 Hf
0.000 0.500 0.500 Hg
0.500 0.000 0.500 Hg
0.000 0.000 0.500 Te
0.500 0.500 0.000 As



No. 2
HfTl2HgAs, optimized geometry, DFT PBE; energy of formation from the pure elements = 0.2125 eV/atom; DOS at the Fermi energy = 4.48 states/eV/f.u.; density = 8.33 g cm⁻³
1.0
5.812 0.000 0.000
0.000 5.812 0.000
0.000 0.000 5.095
Hf Tl Hg As
1 2 1 1
Direct
0.000 0.000 0.000 Hf
0.000 0.500 0.000 Tl
0.500 0.000 0.000 Tl
0.500 0.500 0.500 Hg
0.000 0.000 0.500 As



No. 3
HfHg2AsW, optimized geometry, DFT PBE; energy of formation from the pure elements = 1.0717 eV/atom; DOS at the Fermi energy = 4.40 states/eV/f.u.; density = 10.71 g cm⁻³
1.0
5.263 0.000 0.000
0.000 5.263 0.000
0.000 0.000 4.694
Hf Hg As W
1 2 1 1
Direct
0.000 0.000 0.000 Hf
0.000 0.500 0.500 Hg
0.500 0.000 0.500 Hg
0.500 0.500 0.000 As
0.500 0.500 0.500 W



No. 4
HfZrHgAs2, optimized geometry, DFT PBE; energy of formation from the pure elements = 0.5513 eV/atom; DOS at the Fermi energy = 4.53 states/eV/f.u.; density = 7.26 g cm⁻³
1.0
5.112 0.000 0.000
0.000 5.112 0.000
0.000 0.000 5.427
Hf Zr Hg As
1 1 1 2
Direct
0.000 0.000 0.000 Hf
0.000 0.000 0.500 Zr
0.500 0.500 0.000 Hg
0.000 0.500 0.500 As
0.500 0.000 0.500 As



No. 5
Ho2HfAs3, optimized geometry, DFT PBE; energy of formation from the pure elements = -1.3135 eV/atom; DOS at the Fermi energy = 2.11 states/eV/f.u.; density = 8.97 g cm⁻³
1.0
4.004 0.000 0.000
0.000 4.004 0.000
0.000 0.000 16.927
Ho Hf As
4 2 6
Direct
0.000 0.000 0.167 Ho
0.000 0.000 0.833 Ho
0.500 0.500 0.333 Ho
0.500 0.500 0.667 Ho
0.000 0.000 0.500 Hf
0.500 0.500 0.000 Hf
0.000 0.000 0.000 As
0.000 0.000 0.339 As
0.000 0.000 0.661 As
0.500 0.500 0.161 As
0.500 0.500 0.500 As
0.500 0.500 0.839 As



No. 6
HoHfAs, optimized geometry, DFT PBE; energy of formation from the pure elements = -0.9063 eV/atom; DOS at the Fermi energy = 2.65 states/eV/f.u.; density = 10.64 g cm⁻³
1.0
4.069 0.000 0.000
0.000 4.069 0.000
0.000 0.000 15.775
Ho Hf As
4 4 4
Direct
0.000 0.000 0.178 Ho
0.000 0.000 0.822 Ho
0.500 0.500 0.322 Ho
0.500 0.500 0.678 Ho
0.000 0.500 0.000 Hf
0.000 0.500 0.500 Hf
0.500 0.000 0.000 Hf
0.500 0.000 0.500 Hf
0.000 0.000 0.369 As
0.000 0.000 0.631 As
0.500 0.500 0.131 As
0.500 0.500 0.869 As



Q: The lowest density belongs to which entry?
A: HfZrHgAs2